[1]
Entry from the Alexandria database: PmNd2Dy2Th2 after structural relaxation (PBE).

a = 3.487 Å, b = 9.207 Å, c = 8.611 Å
α = 118.84°, β = 90.00°, γ = 100.92°
Atoms (fractional coordinates):
Pm  0.000  0.000  0.500
Nd  0.644  0.287  0.917
Nd  0.356  0.713  0.083
Dy  0.789  0.578  0.379
Dy  0.211  0.422  0.621
Th  0.433  0.866  0.775
Th  0.567  0.134  0.225

Calculated values
ρ, Mg/m³: 8.59
Space-group type: No. 12
Total energy, eV for the cell shown: -37.10
Crystal system: monoclinic
Calculated formation energy, kJ/mol of formula units: 118

=====

[2]
Entry from the Alexandria database: NdHo2ZrP4 after structural relaxation (PBE).

a = 3.960 Å, b = 6.873 Å, c = 6.851 Å
α = 109.25°, β = 90.00°, γ = 90.00°
Atoms (fractional coordinates):
Nd  0.500  0.500  0.000
Ho  0.500  0.000  0.500
Ho  0.000  0.500  0.500
Zr  0.000  0.000  0.000
P  0.500  0.236  0.243
P  0.500  0.764  0.757
P  0.000  0.237  0.748
P  0.000  0.763  0.252

Calculated values
ρ, Mg/m³: 6.50
Space-group type: No. 10
Total energy, eV for the cell shown: -56.17
Crystal system: monoclinic
Calculated formation energy, kJ/mol of formula units: -1163

=====

[3]
Entry from the Alexandria database: BeFe2As after structural relaxation (PBE).

a = 3.876 Å, b = 3.876 Å, c = 3.876 Å
α = 60.00°, β = 60.00°, γ = 60.00°
Atoms (fractional coordinates):
Be  0.000  0.000  0.000
As  0.500  0.500  0.500
Fe  0.250  0.250  0.250
Fe  0.750  0.750  0.750

Calculated values
ρ, Mg/m³: 7.89
Space-group type: No. 225
Total energy, eV for the cell shown: -25.77
E above lowest polymorph, eV per formula unit: 0.000
Crystal system: cubic
Calculated formation energy, kJ/mol of formula units: -45

=====

[4]
Entry from the Alexandria database: Ge2AuOF after structural relaxation (PBE).

a = 4.941 Å, b = 4.253 Å, c = 4.941 Å
α = 90.00°, β = 90.00°, γ = 90.00°
Atoms (fractional coordinates):
Ge  0.000  0.000  0.500
Ge  0.500  0.000  0.000
Au  0.000  0.000  0.000
O  0.500  0.500  0.500
F  0.000  0.500  0.000

Calculated values
ρ, Mg/m³: 6.03
Space-group type: No. 123
Formation energy (no corrections), eV per atom: 0.35
Total energy, eV for the cell shown: -17.58
Crystal system: tetragonal

=====

[5]
Entry from the Alexandria database: MnRe3Bi after structural relaxation (PBE).

a = 4.542 Å, b = 4.542 Å, c = 4.542 Å
α = 90.00°, β = 90.00°, γ = 90.00°
Site moments in Bohr magnetons follow the coordinates.
Atoms (fractional coordinates):
Re  0.000  0.500  0.000  0.28
Re  0.000  0.000  0.500  0.31
Re  0.500  0.000  0.000  0.29
Mn  0.000  0.000  0.000  -0.15
Bi  0.500  0.500  0.500  -0.03

Calculated values
ρ, Mg/m³: 14.58
Space-group type: No. 221
Total energy, eV for the cell shown: -42.85
E above lowest polymorph, eV per formula unit: 0.000
Crystal system: cubic
Calculated formation energy, kJ/mol of formula units: 728

=====

[6]
Entry from the Alexandria database: LiU3In3Se8 after structural relaxation (PBE).

a = 8.159 Å, b = 8.159 Å, c = 9.069 Å
α = 116.74°, β = 90.01°, γ = 120.00°
Site moments in Bohr magnetons follow the coordinates.
Atoms (fractional coordinates):
Li  0.000  0.000  0.500  0.00
U  0.500  0.000  0.500  2.08
U  0.500  0.500  0.500  2.08
U  0.000  0.500  0.500  2.08
In  0.000  0.000  0.000  -0.01
In  0.000  0.500  0.000  -0.01
In  0.500  0.500  0.000  -0.01
Se  0.263  0.525  0.288  -0.05
Se  0.737  0.475  0.712  -0.05
Se  0.763  0.526  0.298  -0.07
Se  0.237  0.474  0.702  -0.07
Se  0.763  0.035  0.298  -0.07
Se  0.237  0.965  0.702  -0.07
Se  0.272  0.035  0.298  -0.07
Se  0.728  0.965  0.702  -0.07

Calculated values
ρ, Mg/m³: 6.31
Space-group type: No. 166
Formation energy (no corrections), eV per atom: -0.87
Total energy, eV for the cell shown: -84.98
Crystal system: trigonal